The following is a DFT calculation (GGA+U) of crystalline Nd2MnPO8 at its relaxed geometry.

Computed properties:
**Magnetization**: 8.033 μB per cell
**Crystal system**: trigonal
**Raw total energy**: -83.73 eV/cell

Cell lengths 5.2700, 5.2700, 6.1453 Å; angles 90.00, 90.00, 120.00 degrees
Space group P-3m1 (No. 164)
One atom of each set of equivalent atoms:
Nd (0.3333, 0.6667, 0.3552) [2 per cell]
Mn (0.0000, 0.0000, 0.0000) [1 per cell]
P (0.0000, 0.0000, 0.5000) [1 per cell]
O (0.1520, 0.3040, 0.6624) [6 per cell]
O (0.3333, 0.6667, 0.9954) [2 per cell]